{"formula": "Dy3Th2ScAs6", "functional": "PBE", "state": "relaxed", "magnetic_moment_mub_per_cell": 0.00, "spacegroup": "C2/m", "energy_ev_per_atom": -6.690, "rho_g_cm3": 8.0, "n_ef_per_ev_atom": 0.3326, "formation_enthalpy_0k_mev_per_atom": -1450, "lattice_angstrom": [[9.013, -2.074, 0.000], [9.013, 2.074, 0.000], [-1.916, 0.000, 8.035]], "species": ["Dy", "Dy", "Dy", "Th", "Th", "Sc", "As", "As", "As", "As", "As", "As"], "fractional_positions": [[0.000, 0.000, 0.000], [0.333, 0.333, 0.666], [0.667, 0.667, 0.334], [0.337, 0.337, 0.172], [0.663, 0.663, 0.828], [0.000, 0.000, 0.500], [0.162, 0.162, 0.574], [0.165, 0.165, 0.087], [0.497, 0.497, 0.739], [0.503, 0.503, 0.261], [0.835, 0.835, 0.913], [0.838, 0.838, 0.426]]}

---

{"formula": "Dy2ThScAs4", "functional": "PBE", "state": "relaxed", "magnetic_moment_mub_per_cell": 0.00, "spacegroup": "P2/m", "energy_ev_per_atom": -6.643, "rho_g_cm3": 7.6, "n_ef_per_ev_atom": 0.1915, "formation_enthalpy_0k_mev_per_atom": -1448, "lattice_angstrom": [[7.087, 0.000, 0.000], [0.000, 4.119, 0.000], [-2.375, 0.000, 6.718]], "species": ["Dy", "Dy", "Th", "Sc", "As", "As", "As", "As"], "fractional_positions": [[0.000, 0.000, 0.000], [0.500, 0.500, 0.000], [0.000, 0.500, 0.500], [0.500, 0.000, 0.500], [0.261, 0.000, 0.751], [0.262, 0.500, 0.257], [0.738, 0.500, 0.743], [0.739, 0.000, 0.249]]}

---

{"formula": "DyThSc2As4", "functional": "PBE", "state": "relaxed", "magnetic_moment_mub_per_cell": 0.00, "spacegroup": "P2/m", "energy_ev_per_atom": -6.828, "rho_g_cm3": 7.0, "n_ef_per_ev_atom": 0.2047, "formation_enthalpy_0k_mev_per_atom": -1418, "lattice_angstrom": [[6.962, 0.000, 0.000], [0.000, 4.060, 0.000], [-2.354, 0.000, 6.608]], "species": ["Dy", "Th", "Sc", "Sc", "As", "As", "As", "As"], "fractional_positions": [[0.000, 0.000, 0.000], [0.000, 0.500, 0.500], [0.500, 0.000, 0.500], [0.500, 0.500, 0.000], [0.267, 0.500, 0.252], [0.271, 0.000, 0.761], [0.729, 0.000, 0.239], [0.733, 0.500, 0.748]]}